Arrangement 1

## Gd2SnPb (PBE)

Data for a relaxed Gd2SnPb crystal.

Properties
**Fermi-level density of states**: 2.200 states/eV/f.u.

Unit cell a=3.496 b=3.496 c=9.048 alpha=90.00 beta=90.00 gamma=90.00
Space group P4/mmm (No. 123)
Unique sites:
Gd 0.000 0.000 0.242 x2
Sn 0.500 0.500 0.000 x1
Pb 0.500 0.500 0.500 x1

Arrangement 2

## Gd2SnPb (PBE)

Data for a relaxed Gd2SnPb crystal.

Properties
**Fermi-level density of states**: 2.997 states/eV/f.u.

Unit cell a=4.973 b=4.973 c=4.504 alpha=90.00 beta=90.00 gamma=90.00
Space group P4/mmm (No. 123)
Unique sites:
Gd 0.000 0.500 0.000 x2
Sn 0.000 0.000 0.500 x1
Pb 0.500 0.500 0.500 x1

Arrangement 3

## Gd2SnPb (PBE)

Data for a relaxed Gd2SnPb crystal.

Properties
**Fermi-level density of states**: 3.166 states/eV/f.u.

Unit cell a=4.0327 b=4.0327 c=26.2824 alpha=90.00 beta=90.00 gamma=120.00
Space group R-3m (No. 166, hexagonal axes)
Unique sites:
Gd 0.0000 0.0000 0.2473 x6
Sn 0.0000 0.0000 0.5000 x3
Pb 0.0000 0.0000 0.0000 x3

Arrangement 4

## Gd2SnPb (PBE)

Data for a relaxed Gd2SnPb crystal.

Properties
**Fermi-level density of states**: 4.019 states/eV/f.u.

Unit cell a=7.700 b=7.700 c=7.700 alpha=90.00 beta=90.00 gamma=90.00
Space group Fm-3m (No. 225)
Unique sites:
Gd 0.250 0.250 0.250 x8
Sn 0.000 0.000 0.000 x4
Pb 0.000 0.000 0.500 x4

Least stable of them? arrangement 3.

Arrangement 1

## GdSnPb2 (PBE)

Data for a relaxed GdSnPb2 crystal.

Properties
**Fermi-level density of states**: 2.635 states/eV/f.u.

Unit cell a=4.182 b=4.182 c=6.601 alpha=90.00 beta=90.00 gamma=90.00
Space group P4/mmm (No. 123)
Unique sites:
Gd 0.000 0.000 0.000 x1
Sn 0.000 0.000 0.500 x1
Pb 0.500 0.500 0.253 x2

Arrangement 2

## GdSnPb2 (PBE)

Data for a relaxed GdSnPb2 crystal.

Properties
**Fermi-level density of states**: 4.445 states/eV/f.u.

Unit cell a=7.823 b=7.823 c=7.823 alpha=90.00 beta=90.00 gamma=90.00
Space group Fm-3m (No. 225)
Unique sites:
Gd 0.000 0.000 0.000 x4
Sn 0.000 0.000 0.500 x4
Pb 0.250 0.250 0.250 x8

Arrangement 3

## GdSnPb2 (PBE)

Data for a relaxed GdSnPb2 crystal.

Properties
**Fermi-level density of states**: 2.697 states/eV/f.u.

Unit cell a=4.826 b=4.826 c=4.871 alpha=90.00 beta=90.00 gamma=90.00
Space group P4/mmm (No. 123)
Unique sites:
Gd 0.000 0.000 0.000 x1
Sn 0.500 0.500 0.000 x1
Pb 0.000 0.500 0.500 x2

Least stable of them? arrangement 2.

Arrangement 1

## TbGd2Pb (PBE)

Data for a relaxed TbGd2Pb crystal.

Properties
**Fermi-level density of states**: 5.646 states/eV/f.u.

Unit cell a=4.877 b=4.877 c=4.940 alpha=90.00 beta=90.00 gamma=90.00
Space group P4/mmm (No. 123)
Unique sites:
Tb 0.000 0.000 0.000 x1
Gd 0.000 0.500 0.500 x2
Pb 0.500 0.500 0.000 x1

Arrangement 2

## TbGd2Pb (PBE)

Data for a relaxed TbGd2Pb crystal.

Properties
**Fermi-level density of states**: 5.111 states/eV/f.u.

Unit cell a=3.5537 b=3.5537 c=36.3435 alpha=90.00 beta=90.00 gamma=120.00
Space group R-3m (No. 166, hexagonal axes)
Unique sites:
Tb 0.0000 0.0000 0.0000 x3
Gd 0.0000 0.0000 0.4118 x6
Pb 0.0000 0.0000 0.5000 x3

Least stable of them? arrangement 2.

Arrangement 1

## GdThPb2 (PBE)

Data for a relaxed GdThPb2 crystal.

Properties
**Fermi-level density of states**: 3.544 states/eV/f.u.

Unit cell a=5.1613 b=5.1613 c=16.1217 alpha=90.00 beta=90.00 gamma=120.00
Space group R-3m (No. 166, hexagonal axes)
Unique sites:
Gd 0.0000 0.0000 0.0000 x3
Th 0.0000 0.0000 0.5000 x3
Pb 0.0000 0.0000 0.2549 x6

Arrangement 2

## GdThPb2 (PBE)

Data for a relaxed GdThPb2 crystal.

Properties
**Fermi-level density of states**: 5.943 states/eV/f.u.

Unit cell a=7.829 b=7.829 c=7.829 alpha=90.00 beta=90.00 gamma=90.00
Space group Fm-3m (No. 225)
Unique sites:
Gd 0.000 0.000 0.000 x4
Th 0.000 0.000 0.500 x4
Pb 0.250 0.250 0.250 x8

Least stable of them? arrangement 2.

Arrangement 1

## GdThPb (PBE)

Data for a relaxed GdThPb crystal.

Properties
**Fermi-level density of states**: 3.045 states/eV/f.u.

Unit cell a=4.170 b=4.170 c=10.436 alpha=90.00 beta=90.00 gamma=90.00
Space group I4mm (No. 107)
Unique sites:
Gd 0.000 0.000 0.000 x2
Th 0.000 0.000 0.311 x2
Pb 0.000 0.000 0.649 x2

Arrangement 2

## GdThPb (PBE)

Data for a relaxed GdThPb crystal.

Properties
**Fermi-level density of states**: 4.217 states/eV/f.u.

Unit cell a=5.5353 b=5.5353 c=3.3522 alpha=90.00 beta=90.00 gamma=120.00
Space group P3m1 (No. 156)
Unique sites:
Gd 0.0000 0.0000 0.0000 x1
Th 0.6667 0.3333 0.0021 x1
Pb 0.3333 0.6667 0.5006 x1

Least stable of them? arrangement 2.

Arrangement 1

## GdTlPb (PBE)

Data for a relaxed GdTlPb crystal.

Properties
**Fermi-level density of states**: 2.490 states/eV/f.u.

Unit cell a=4.9518 b=4.9518 c=4.2017 alpha=90.00 beta=90.00 gamma=120.00
Space group P3m1 (No. 156)
Unique sites:
Gd 0.0000 0.0000 0.0000 x1
Tl 0.3333 0.6667 0.3259 x1
Pb 0.6667 0.3333 0.6311 x1

Arrangement 2

## GdTlPb (PBE)

Data for a relaxed GdTlPb crystal.

Properties
**Fermi-level density of states**: 3.201 states/eV/f.u.

Unit cell a=3.879 b=3.879 c=11.550 alpha=90.00 beta=90.00 gamma=90.00
Space group I4mm (No. 107)
Unique sites:
Gd 0.000 0.000 0.000 x2
Tl 0.000 0.000 0.330 x2
Pb 0.000 0.000 0.679 x2

Least stable of them? arrangement 2.

Arrangement 1

## GdY2Pb (PBE)

Data for a relaxed GdY2Pb crystal.

Properties
**Fermi-level density of states**: 4.593 states/eV/f.u.

Unit cell a=3.5519 b=3.5519 c=36.1698 alpha=90.00 beta=90.00 gamma=120.00
Space group R-3m (No. 166, hexagonal axes)
Unique sites:
Gd 0.0000 0.0000 0.0000 x3
Y 0.0000 0.0000 0.4125 x6
Pb 0.0000 0.0000 0.5000 x3

Arrangement 2

## GdY2Pb (PBE)

Data for a relaxed GdY2Pb crystal.

Properties
**Fermi-level density of states**: 5.730 states/eV/f.u.

Unit cell a=4.927 b=4.927 c=4.830 alpha=90.00 beta=90.00 gamma=90.00
Space group P4/mmm (No. 123)
Unique sites:
Gd 0.000 0.000 0.000 x1
Y 0.000 0.500 0.500 x2
Pb 0.500 0.500 0.000 x1

Least stable of them? arrangement 1.

Arrangement 1

## Gd2YPb (PBE)

Data for a relaxed Gd2YPb crystal.

Properties
**Fermi-level density of states**: 5.505 states/eV/f.u.

Unit cell a=4.871 b=4.871 c=4.961 alpha=90.00 beta=90.00 gamma=90.00
Space group P4/mmm (No. 123)
Unique sites:
Gd 0.000 0.500 0.000 x2
Y 0.000 0.000 0.500 x1
Pb 0.500 0.500 0.500 x1

Arrangement 2

## Gd2YPb (PBE)

Data for a relaxed Gd2YPb crystal.

Properties
**Fermi-level density of states**: 5.499 states/eV/f.u.

Unit cell a=3.5597 b=3.5597 c=36.4040 alpha=90.00 beta=90.00 gamma=120.00
Space group R-3m (No. 166, hexagonal axes)
Unique sites:
Gd 0.0000 0.0000 0.0880 x6
Y 0.0000 0.0000 0.5000 x3
Pb 0.0000 0.0000 0.0000 x3

Least stable of them? arrangement 2.